# HoBe2Os, optimized geometry, DFT PBE
data_HoBe2Os
_symmetry_space_group_name_H-M 'R -3 m'
_symmetry_Int_Tables_number 166
_symmetry_space_group_name_Hall '-R 3 2"'
_cell_length_a 3.8859
_cell_length_b 3.8859
_cell_length_c 14.1932
_cell_angle_alpha 90.00
_cell_angle_beta 90.00
_cell_angle_gamma 120.00
loop_
_atom_site_label
_atom_site_type_symbol
_atom_site_fract_x
_atom_site_fract_y
_atom_site_fract_z
_atom_site_occupancy
Ho1 Ho 0.0000 0.0000 0.0000 1
Be1 Be 0.0000 0.0000 0.1965 1
Os1 Os 0.0000 0.0000 0.5000 1
# - Calculated formation energy: -181 meV/atom
# - Final energy: -0.220 hartree per atom
# - Magnetic moment: 0.0 μB/f.u.

=====

# HoBeOs, optimized geometry, DFT PBE
data_HoBeOs
_symmetry_space_group_name_H-M 'C 1 2/c 1'
_symmetry_Int_Tables_number 15
_cell_length_a 17.750
_cell_length_b 3.756
_cell_length_c 9.989
_cell_angle_alpha 90.00
_cell_angle_beta 104.31
_cell_angle_gamma 90.00
loop_
_symmetry_equiv_pos_as_xyz
'x,y,z'
'-x,-y,-z'
'-x,y,-z+1/2'
'x,-y,z+1/2'
'x+1/2,y+1/2,z'
'-x+1/2,-y+1/2,-z'
'-x+1/2,y+1/2,-z+1/2'
'x+1/2,-y+1/2,z+1/2'
loop_
_atom_site_label
_atom_site_type_symbol
_atom_site_fract_x
_atom_site_fract_y
_atom_site_fract_z
_atom_site_occupancy
Ho1 Ho 0.000 0.204 0.250 1
Ho2 Ho 0.160 0.256 0.657 1
Be1 Be 0.000 0.500 0.000 1
Be2 Be 0.176 0.247 0.394 1
Os1 Os 0.102 0.271 0.928 1
Os2 Os 0.250 0.250 0.000 1
# - Calculated formation energy: -74 meV/atom
# - Final energy: -0.242 hartree per atom
# - Excess energy over the best structure of this formula in the dataset: 0.553 eV/f.u.
# - Magnetic moment: 0.0 μB/f.u.